FePRh2: optimized geometry, GGA-PBE.

Geometry as POSCAR:
```
FePRh2
1.0
3.661 0.000 0.000
0.000 3.661 0.000
0.000 0.000 7.886
Fe P Rh
2 2 4
direct
0.000 0.000 0.000 Fe
0.500 0.500 0.500 Fe
0.000 0.500 0.750 P
0.500 0.000 0.250 P
0.000 0.000 0.500 Rh
0.000 0.500 0.250 Rh
0.500 0.000 0.750 Rh
0.500 0.500 0.000 Rh
```

## Properties
**DFT total energy**: -28.86 eV/f.u.